The following is a PBE-GGA calculation of crystalline CsBa2Cd at its relaxed geometry, from Alexandria.

Lattice parameters (Å, degrees): 12.524 12.524 12.524 23.67 23.67 23.67
Atoms (fractional coordinates):
Cs 0.000 0.000 0.000
Ba 0.551 0.551 0.551
Ba 0.782 0.782 0.782
Cd 0.166 0.166 0.166

SG: R3m
Energy of formation, kJ/mol of atoms: -2